The following is a PBE calculation of crystalline Ce2Ga8Ir at its relaxed geometry, from Alexandria via LeMat-Bulk.

Unit cell a=4.368 b=4.368 c=11.272 alpha=90.00 beta=90.00 gamma=90.00
Element x y z (fractional)
Ce 0.000 0.000 0.195
Ce 0.000 0.000 0.805
Ga 0.000 0.500 0.000
Ga 0.000 0.500 0.379
Ga 0.000 0.500 0.621
Ga 0.500 0.000 0.000
Ga 0.500 0.000 0.379
Ga 0.500 0.000 0.621
Ga 0.500 0.500 0.196
Ga 0.500 0.500 0.804
Ir 0.000 0.000 0.500

## Properties
**ΔE_f**: -53.4 kJ/mol of atoms
**Volume**: 19.549 A^3/atom
**Electronic total energy**: -4.6395 eV/atom
**Symmetry**: P4/mmm, No. 123